{
  "formula": "LaMnGa2Ge",
  "functional": "PBE",
  "state": "optimized geometry",
  "lattice": [[4.6434, 0.0000, 0.0000], [0.0000, 4.6434, 0.0000], [0.0000, 0.0000, 4.5862]],
  "species": ["Ge", "La", "Ga", "Mn", "Ga"],
  "frac_coords": [[0.0000, 0.0000, 0.5000], [0.5000, 0.5000, 0.5000], [0.5000, 0.0000, 0.0000], [0.0000, 0.0000, 0.0000], [0.0000, 0.5000, 0.0000]],
  "delta_e_f_ev_per_atom": -0.3975,
  "space_group": "No. 123",
  "dos_ef_per_ev_atom": 0.3288
}